# 1
First-principles (GGA-PBE) data for a relaxed BiH3Ir crystal, as listed in Alexandria via LeMat-Bulk.

Cell lengths 5.351, 4.268, 5.677 Å; angles 90.00, 101.93, 90.00 degrees
Space group P2_1/m (No. 11)
One atom of each set of equivalent atoms:
Bi 0.246 0.250 0.393
H 0.106 0.750 0.135
H 0.321 0.503 0.891
Ir 0.410 0.750 0.140

Output
The energy relative to the lowest polymorph listed for this composition comes out at 0 meV per atom. Its crystal system is monoclinic.

---

# 2
First-principles (GGA-PBE) data for a relaxed BiH2Ir crystal, as listed in Alexandria via LeMat-Bulk.

Cell lengths 4.810, 4.824, 9.420 Å; angles 90.00, 90.00, 90.00 degrees
Space group Fmm2 (No. 42)
One atom of each set of equivalent atoms:
Bi 0.000 0.000 0.000
H 0.250 0.250 0.253
Ir 0.000 0.000 0.313

Output
The energy relative to the lowest polymorph listed for this composition comes out at 0 meV per atom. Its crystal system is orthorhombic.

---

# 3
First-principles (GGA-PBE) data for a relaxed Bi2HIr crystal, as listed in Alexandria via LeMat-Bulk.

Cell lengths 6.704, 6.704, 6.704 Å; angles 90.00, 90.00, 90.00 degrees
Space group Fm-3m (No. 225)
One atom of each set of equivalent atoms:
Bi 0.250 0.250 0.250
H 0.000 0.000 0.000
Ir 0.000 0.000 0.500

Output
The energy relative to the lowest polymorph listed for this composition comes out at 0 meV per atom. Its crystal system is cubic.

---

# 4
First-principles (GGA-PBE) data for a relaxed Bi2HIr crystal, as listed in Alexandria via LeMat-Bulk.

Cell lengths 6.691, 6.691, 7.270 Å; angles 90.00, 90.00, 90.00 degrees
Space group I-42d (No. 122)
One atom of each set of equivalent atoms:
Bi 0.204 0.250 0.125
H 0.000 0.000 0.000
Ir 0.000 0.000 0.500

Output
The energy relative to the lowest polymorph listed for this composition comes out at 105 meV per atom. Its crystal system is tetragonal.

---

# 5
First-principles (GGA-PBE) data for a relaxed BiH4Ir crystal, as listed in Alexandria via LeMat-Bulk.

Cell lengths 9.821, 2.990, 5.499 Å; angles 90.00, 123.96, 90.00 degrees
Space group C2/m (No. 12)
One atom of each set of equivalent atoms:
Bi 0.000 0.000 0.000
H 0.123 0.000 0.622
H 0.211 0.500 0.711
Ir 0.000 0.500 0.500

Output
The total energy comes out at -4.128 eV per atom. Its crystal system is monoclinic.

---

# 6
First-principles (GGA-PBE) data for a relaxed BiHIr2 crystal, as listed in Alexandria via LeMat-Bulk.

Cell lengths 5.324, 5.324, 8.683 Å; angles 90.00, 90.00, 90.00 degrees
Space group I-42d (No. 122)
One atom of each set of equivalent atoms:
Bi 0.000 0.000 0.000
H 0.000 0.000 0.500
Ir 0.086 0.250 0.625

Output
The energy relative to the lowest polymorph listed for this composition comes out at 0 meV per atom. Its crystal system is tetragonal.